Entry 1:
{
  "formula": "RePPtCl2",
  "functional": "GGA-PBE",
  "state": "relaxed",
  "cell": [[4.810, 0.000, 0.000], [0.000, 4.810, 0.000], [0.000, 0.000, 4.843]],
  "species": ["Re", "P", "Pt", "Cl", "Cl"],
  "fractional_positions": [[0.500, 0.500, 0.500], [0.000, 0.000, 0.500], [0.000, 0.000, 0.000], [0.000, 0.500, 0.000], [0.500, 0.000, 0.000]],
  "raw_formation_energy_ev_per_atom": 1.20,
  "magnetic_moment_mub_per_fu": 4.23,
  "spacegroup": "P4/mmm",
  "rho_kg_m3": 7160,
  "dft_energy_ev_per_atom": -4.3154
}

Entry 2:
{
  "formula": "Na2PmIrO4",
  "functional": "GGA-PBE",
  "state": "relaxed",
  "cell": [[-3.241, -3.615, 2.103], [3.736, -2.162, -3.061], [2.771, 2.618, 3.670]],
  "species": ["Na", "Na", "Pm", "Ir", "O", "O", "O", "O"],
  "fractional_positions": [[0.500, 0.750, 0.250], [0.000, 0.000, 0.000], [0.500, 0.250, 0.750], [0.000, 0.500, 0.500], [0.535, 0.306, 0.216], [0.910, 0.230, 0.694], [0.090, 0.784, 0.319], [0.465, 0.681, 0.770]],
  "raw_formation_energy_ev_per_atom": -1.73,
  "magnetic_moment_mub_per_fu": 2.01,
  "spacegroup": "I-4",
  "rho_kg_m3": 6564,
  "dft_energy_ev_per_atom": -6.2392
}

Entry 3:
{
  "formula": "NaSeNF2",
  "functional": "GGA-PBE",
  "state": "relaxed",
  "cell": [[4.556, 0.000, 0.000], [0.000, 4.556, 0.000], [0.000, 0.000, 3.668]],
  "species": ["Na", "N", "Se", "F", "F"],
  "fractional_positions": [[0.500, 0.500, 0.500], [0.000, 0.000, 0.500], [0.000, 0.000, 0.000], [0.000, 0.500, 0.000], [0.500, 0.000, 0.000]],
  "raw_formation_energy_ev_per_atom": -0.73,
  "magnetic_moment_mub_per_fu": 0.00,
  "spacegroup": "P4/mmm",
  "rho_kg_m3": 3358,
  "dft_energy_ev_per_atom": -4.1046
}